The following is a DFT calculation (GGA+U) of an optimized crystal structure of K2LiMn2O4.

Cell lengths 6.4793, 6.4793, 6.6380 Å; angles 93.21, 93.21, 94.14 degrees
With the nearest neighbours (Å) after each atom.
Positions (direct):
K 0.0000 0.0000 0.0000  6 O 2.74-2.79
K 0.4757 0.0346 0.7385  4 O 2.74-3.06, 2 Li 2.81-2.84
K 0.9582 0.0418 0.5000  6 O 2.74-2.83
K 0.9654 0.5243 0.2615  4 O 2.74-3.06, 2 Li 2.81-2.84
Li 0.3302 0.6698 0.5000  4 O 2.01-2.10
Li 0.6253 0.3747 0.0000  4 O 2.07-2.08
Mn 0.1601 0.4456 0.7869  4 O 1.92-2.01
Mn 0.3917 0.2294 0.2846  4 O 1.99-2.16
Mn 0.5544 0.8399 0.2131  4 O 1.92-2.01
Mn 0.7706 0.6083 0.7154  4 O 1.99-2.16
O 0.0929 0.7110 0.6972  1 Mn 1.92, 1 Li 2.10
O 0.2772 0.3631 0.5266  2 Mn 1.99, 1 Li 2.01
O 0.2890 0.9071 0.3028  1 Mn 1.92, 1 Li 2.10
O 0.3066 0.3130 0.9964  2 Mn 1.92-2.07, 1 Li 2.07
O 0.6369 0.7228 0.4734  2 Mn 1.99, 1 Li 2.01
O 0.6661 0.1357 0.1919  2 Mn 2.01-2.04, 1 Li 2.08
O 0.6870 0.6934 0.0036  2 Mn 1.92-2.07, 1 Li 2.07
O 0.8643 0.3339 0.8081  2 Mn 2.01-2.04, 1 Li 2.08

Values from the calculation:
For the distance to the lowest polymorph of the same formula, the calculation gives 0.0 meV/atom. The total energy is -104.763 eV per cell. The total magnetic moment comes out at 9.0 μB per formula unit. The calculation puts the calculated density at 3.1 g/cm³.